(1)
## Ca2Ga7Ge (PBE-GGA)

Data for a relaxed Ca2Ga7Ge crystal.

## Properties
- E_form (eV per atom) = -0.33
- density of states at the Fermi level (states/eV/f.u.) = 2.30

Cell: 4.424 4.424 10.675 Å, 90.00 90.00 90.00°
Space group P-4m2 (No. 115)
Asymmetric unit:
Ca (0.000, 0.500, 0.246) x2
Ga (0.000, 0.000, 0.000) x1
Ga (0.000, 0.500, 0.634) x2
Ga (0.000, 0.500, 0.867) x2
Ga (0.500, 0.500, 0.000) x1
Ga (0.500, 0.500, 0.500) x1
Ge (0.000, 0.000, 0.500) x1

***

(2)
## Dy3YTh2Bi6 (PBE-GGA)

Data for a relaxed Dy3YTh2Bi6 crystal.

## Properties
- E_form (eV per atom) = -0.77
- density of states at the Fermi level (states/eV/f.u.) = 4.90

Cell: 19.688 4.528 9.027 Å, 90.00 103.18 90.00°
Space group C2/m (No. 12)
Asymmetric unit:
Dy (0.000, 0.000, 0.000) x2
Dy (0.167, 0.500, 0.334) x4
Y (0.000, 0.000, 0.500) x2
Th (0.165, 0.500, 0.831) x4
Bi (0.003, 0.500, 0.251) x4
Bi (0.165, 0.000, 0.088) x4
Bi (0.166, 0.000, 0.576) x4

***

(3)
## BaCaBi (PBE-GGA)

Data for a relaxed BaCaBi crystal.

## Properties
- energy above the most stable polymorph in this dataset (eV per atom) = 0.176
- E_form (eV per atom) = -0.67
- density of states at the Fermi level (states/eV/f.u.) = 0.50

Cell: 5.3605 5.3605 5.0831 Å, 90.00 90.00 120.00°
Space group P3m1 (No. 156)
Asymmetric unit:
Ba (0.0000, 0.0000, 0.0000) x1
Ca (0.3333, 0.6667, 0.5004) x1
Bi (0.6667, 0.3333, 0.4986) x1

***

(4)
## LiBiOs3 (PBE-GGA)

Data for a relaxed LiBiOs3 crystal.

## Properties
- energy above the most stable polymorph in this dataset (eV per atom) = 0.000
- E_form (eV per atom) = 1.52
- density of states at the Fermi level (states/eV/f.u.) = 7.90

Cell: 4.286 4.286 4.286 Å, 90.00 90.00 90.00°
Space group Pm-3m (No. 221)
Asymmetric unit:
Li (0.000, 0.000, 0.000) x1
Bi (0.500, 0.500, 0.500) x1
Os (0.000, 0.000, 0.500) x3

***

(5)
## Li2Nd3Hg4 (PBE-GGA)

Data for a relaxed Li2Nd3Hg4 crystal.

## Properties
- energy above the most stable polymorph in this dataset (eV per atom) = 0.005
- E_form (eV per atom) = -0.39
- density of states at the Fermi level (states/eV/f.u.) = 6.47

Cell: 11.117 4.970 9.296 Å, 90.00 120.18 90.00°
Space group C2/m (No. 12)
Asymmetric unit:
Li (0.127, 0.000, 0.296) x4
Nd (0.000, 0.500, 0.000) x2
Nd (0.159, 0.000, 0.674) x4
Hg (0.074, 0.500, 0.394) x4
Hg (0.211, 0.000, 0.062) x4

***

(6)
## Dy6CoNi2 (PBE-GGA)

Data for a relaxed Dy6CoNi2 crystal.

## Properties
- E_form (eV per atom) = -0.23
- density of states at the Fermi level (states/eV/f.u.) = 7.56

Cell: 6.389 7.063 11.686 Å, 90.00 122.83 90.00°
Space group P2_1/c (No. 14)
Asymmetric unit:
Dy (0.094, 0.178, 0.429) x4
Dy (0.251, 0.678, 0.428) x4
Dy (0.403, 0.044, 0.251) x4
Co (0.500, 0.000, 0.500) x2
Ni (0.192, 0.116, 0.747) x4

***

(7)
## Np3UPa2As6 (PBE-GGA)

Data for a relaxed Np3UPa2As6 crystal.

## Properties
- E_form (eV per atom) = -0.81
- density of states at the Fermi level (states/eV/f.u.) = 35.35

Cell: 17.770 4.079 8.225 Å, 90.00 102.02 90.00°
Space group C2/m (No. 12)
Asymmetric unit:
Np (0.000, 0.000, 0.000) x2
Np (0.166, 0.500, 0.336) x4
U (0.000, 0.000, 0.500) x2
Pa (0.167, 0.500, 0.836) x4
As (0.001, 0.500, 0.749) x4
As (0.167, 0.000, 0.086) x4
As (0.167, 0.000, 0.586) x4

***

(8)
## YRe3Sn (PBE-GGA)

Data for a relaxed YRe3Sn crystal.

## Properties
- energy above the most stable polymorph in this dataset (eV per atom) = 0.920
- E_form (eV per atom) = 2.89
- density of states at the Fermi level (states/eV/f.u.) = 4.95

Cell: 4.901 4.901 4.901 Å, 90.00 90.00 90.00°
Space group Pm-3m (No. 221)
Asymmetric unit:
Y (0.000, 0.000, 0.000) x1
Re (0.000, 0.000, 0.500) x3
Sn (0.500, 0.500, 0.500) x1

***

(9)
## LiZrMo (PBE-GGA)

Data for a relaxed LiZrMo crystal.

## Properties
- energy above the most stable polymorph in this dataset (eV per atom) = 0.000
- E_form (eV per atom) = 0.28
- density of states at the Fermi level (states/eV/f.u.) = 1.62

Cell: 4.8773 4.8773 2.5693 Å, 90.00 90.00 120.00°
Space group P3m1 (No. 156)
Asymmetric unit:
Li (0.0000, 0.0000, 0.0000) x1
Zr (0.3333, 0.6667, 0.7147) x1
Mo (0.6667, 0.3333, 0.2605) x1

***

(10)
## EuAlCdHg (PBE-GGA)

Data for a relaxed EuAlCdHg crystal.

## Properties
- E_form (eV per atom) = -0.25
- density of states at the Fermi level (states/eV/f.u.) = 1.96

Cell: 7.264 7.264 7.264 Å, 90.00 90.00 90.00°
Space group F-43m (No. 216)
Asymmetric unit:
Eu (0.000, 0.000, 0.000) x4
Al (0.000, 0.000, 0.500) x4
Cd (0.250, 0.250, 0.250) x4
Hg (0.250, 0.250, 0.750) x4

***

(11)
## BaAc2Au (PBE-GGA)

Data for a relaxed BaAc2Au crystal.

## Properties
- energy above the most stable polymorph in this dataset (eV per atom) = 0.024
- E_form (eV per atom) = -0.30
- density of states at the Fermi level (states/eV/f.u.) = 4.79

Cell: 4.3037 4.3037 33.3197 Å, 90.00 90.00 120.00°
Space group R-3m (No. 166, hexagonal axes)
Asymmetric unit:
Ba (0.0000, 0.0000, 0.0000) x3
Ac (0.0000, 0.0000, 0.2260) x6
Au (0.0000, 0.0000, 0.5000) x3

***

(12)
## CsPmMn2Te4 (PBE-GGA)

Data for a relaxed CsPmMn2Te4 crystal.

## Properties
- formation energy from raw total energies (eV per atom) = -0.32

Cell: 7.352 9.341 9.862 Å, 90.00 90.00 90.00°
Space group I222 (No. 23)
Asymmetric unit:
Cs (0.000, 0.000, 0.000) x2
Pm (0.000, 0.000, 0.500) x2
Mn (0.000, 0.500, 0.098) x4
Te (0.241, 0.327, 0.822) x8

***

no.,final energy (eV per atom)
1,-3.308
2,-5.636
3,-3.268
4,-6.376
5,-2.539
6,-5.371
7,-8.898
8,-6.674
9,-6.823
10,-4.062
11,-3.653
12,-4.889